Record 1
Computed, not measured: a relaxed structure of CaHfCr2 at the GGA-PBE level of DFT.

Cell: 9.6714 9.6714 9.6714 Å, 152.49 152.49 39.29°
Last column: nearest neighbours and their distance in Å.
Fractional positions:
Ca: 0.0000 0.0000 0.0000  4 Hf 3.25, 8 Cr 3.33-3.54
Ca: 0.7500 0.2500 0.5000  4 Hf 3.25, 8 Cr 3.33-3.54
Hf: 0.2500 0.7500 0.5000  4 Cr 2.56
Hf: 0.5000 0.5000 0.0000  4 Cr 2.56
Cr: 0.3399 0.1250 0.7149  2 Cr 2.32, 2 Hf 2.56
Cr: 0.3750 0.6601 0.7851  2 Cr 2.32, 2 Hf 2.56
Cr: 0.4101 0.6250 0.2851  2 Cr 2.32, 2 Hf 2.56
Cr: 0.8750 0.5899 0.2149  2 Cr 2.32, 2 Hf 2.56

Computed properties:
As for the crystal system: tetragonal. For the density of states at the Fermi level, the calculation gives 10.672 states/eV/cell. The energy above the most stable polymorph in this dataset is 585 meV per atom.

***

Record 2
Computed, not measured: a relaxed structure of Ge2RhAu at the GGA-PBE level of DFT.

Cell: 6.6161 6.6161 6.6161 Å, 126.42 126.42 79.20°
Last column: nearest neighbours and their distance in Å.
Fractional positions:
Ge: 0.1005 0.6250 0.9755  2 Rh 2.38, 2 Au 2.56
Ge: 0.3750 0.3505 0.4755  2 Rh 2.38, 2 Au 2.56
Ge: 0.6495 0.1250 0.0245  2 Rh 2.38, 2 Au 2.56
Ge: 0.8750 0.8995 0.5245  2 Rh 2.38, 2 Au 2.56
Rh: 0.0000 0.0000 0.0000  4 Ge 2.38
Rh: 0.7500 0.2500 0.5000  4 Ge 2.38
Au: 0.2500 0.7500 0.5000  4 Ge 2.56
Au: 0.5000 0.5000 0.0000  4 Ge 2.56

Computed properties:
As for the crystal system: tetragonal. For the density of states at the Fermi level, the calculation gives 4.357 states/eV/cell. The energy above the most stable polymorph in this dataset is 263 meV per atom.

***

Record 3
Computed, not measured: a relaxed structure of CaReSe4 at the GGA-PBE level of DFT.

Cell: 5.7998 5.7998 5.7998 Å, 60.00 60.00 60.00°
Last column: nearest neighbours and their distance in Å.
Fractional positions:
Ca: 0.0000 0.0000 0.0000  12 Se 3.40, 4 Re 3.55
Re: 0.7500 0.7500 0.7500  12 Se 3.40, 4 Ca 3.55
Se: 0.3757 0.3757 0.3757  6 Se 2.88-2.92
Se: 0.3757 0.3757 0.8728  6 Se 2.88-2.92
Se: 0.3757 0.8728 0.3757  6 Se 2.88-2.92
Se: 0.8728 0.3757 0.3757  6 Se 2.88-2.92

Computed properties:
As for the crystal system: cubic. For the density of states at the Fermi level, the calculation gives 3.691 states/eV/cell. Its uncorrected formation energy is 0.7659 eV per atom.

***

Record 4
Computed, not measured: a relaxed structure of PmSm4Dy6 at the GGA-PBE level of DFT.

Cell: 9.7393 9.7393 9.7393 Å, 140.17 140.17 57.59°
Last column: nearest neighbours and their distance in Å.
Fractional positions:
Pm: 0.0000 0.0000 0.0000  4 Dy 3.32, 4 Sm 3.48
Sm: 0.0138 0.6359 0.0000  5 Dy 3.37-3.59, 1 Pm 3.48, 1 Sm 3.55
Sm: 0.3641 0.3641 0.3779  5 Dy 3.37-3.59, 1 Pm 3.48, 1 Sm 3.55
Sm: 0.6359 0.0138 0.0000  5 Dy 3.37-3.59, 1 Pm 3.48, 1 Sm 3.55
Sm: 0.9862 0.9862 0.6221  5 Dy 3.37-3.59, 1 Pm 3.48, 1 Sm 3.55
Dy: 0.0000 0.5000 0.5000  4 Dy 3.27, 2 Pm 3.32
Dy: 0.1941 0.1941 0.6432  3 Dy 3.27-3.35, 5 Sm 3.37-3.59
Dy: 0.4491 0.8059 0.0000  3 Dy 3.27-3.35, 5 Sm 3.37-3.59
Dy: 0.5000 0.0000 0.5000  4 Dy 3.27, 2 Pm 3.32
Dy: 0.5509 0.5509 0.3568  3 Dy 3.27-3.35, 5 Sm 3.37-3.59
Dy: 0.8059 0.4491 0.0000  3 Dy 3.27-3.35, 5 Sm 3.37-3.59

Computed properties:
As for the crystal system: tetragonal. For the density of states at the Fermi level, the calculation gives 15.552 states/eV/cell. The energy above the most stable polymorph in this dataset is 0 meV per atom.

***

Record 5
Computed, not measured: a relaxed structure of CaPmMg6 at the GGA-PBE level of DFT.

Cell: 5.2291 6.7220 6.7220 Å, 64.23 90.00 90.00°
Last column: nearest neighbours and their distance in Å.
Fractional positions:
Ca: 0.0000 0.0000 0.0000  12 Mg 3.35-3.58
Pm: 0.5000 0.7078 0.7078  12 Mg 3.33-3.58
Mg: 0.0000 0.0364 0.4875  7 Mg 3.18-3.38, 2 Pm 3.33, 2 Ca 3.35-3.39
Mg: 0.0000 0.4875 0.0364  7 Mg 3.18-3.38, 2 Pm 3.33, 2 Ca 3.35-3.39
Mg: 0.0000 0.5225 0.5225  8 Mg 3.18-3.38, 2 Pm 3.36
Mg: 0.5000 0.1912 0.1912  8 Mg 3.18-3.45, 2 Ca 3.40
Mg: 0.5000 0.2245 0.6650  7 Mg 3.15-3.45, 2 Ca 3.35, 2 Pm 3.36-3.38
Mg: 0.5000 0.6650 0.2245  7 Mg 3.15-3.45, 2 Ca 3.35, 2 Pm 3.36-3.38

Computed properties:
As for the crystal system: orthorhombic. For the density of states at the Fermi level, the calculation gives 6.157 states/eV/cell. For the total energy, the calculation gives -2.11 eV/atom.

***

Record 6
Computed, not measured: a relaxed structure of As3RuCl at the GGA-PBE level of DFT.

Cell: 4.8260 4.8260 4.8260 Å, 90.00 90.00 90.00°
Last column: nearest neighbours and their distance in Å.
Fractional positions:
As: 0.0000 0.0000 0.5000  2 Ru 2.41
As: 0.0000 0.5000 0.0000  2 Ru 2.41
As: 0.5000 0.0000 0.0000  2 Ru 2.41
Ru: 0.0000 0.0000 0.0000  6 As 2.41
Cl: 0.5000 0.5000 0.5000  12 As 3.41

Computed properties:
As for the crystal system: cubic. For the density of states at the Fermi level, the calculation gives 6.504 states/eV/cell. The energy above the most stable polymorph in this dataset is 0 meV per atom. Its uncorrected formation energy is 0.4182 eV per atom.

***

Record 7
Computed, not measured: a relaxed structure of YTaCu2 at the GGA-PBE level of DFT.

Cell: 3.1554 4.1783 5.6154 Å, 90.00 106.13 90.00°
Last column: nearest neighbours and their distance in Å.
Fractional positions:
Y: 0.0000 0.0000 0.0000  7 Cu 2.83-2.97, 2 Y 3.16
Ta: 0.3054 0.5000 0.6130  6 Cu 2.73-2.75
Cu: 0.5978 0.5000 0.1975  2 Cu 2.55, 2 Ta 2.74-2.75, 4 Y 2.83
Cu: 0.7318 0.0000 0.4671  2 Cu 2.55, 4 Ta 2.73-2.74

Computed properties:
As for the crystal system: monoclinic. For the density of states at the Fermi level, the calculation gives 3.933 states/eV/cell. The energy above the most stable polymorph in this dataset is 55 meV per atom.

***

Record 8
Computed, not measured: a relaxed structure of AgSe at the GGA-PBE level of DFT.

Cell: 5.6743 5.6743 4.0169 Å, 90.00 90.00 140.55°
Last column: nearest neighbours and their distance in Å.
Fractional positions:
Ag: 0.1097 0.8903 0.7500  5 Se 2.72-2.79
Ag: 0.8903 0.1097 0.2500  5 Se 2.72-2.79
Se: 0.3643 0.6357 0.7500  5 Ag 2.72-2.79
Se: 0.6357 0.3643 0.2500  5 Ag 2.72-2.79

Computed properties:
As for the crystal system: orthorhombic. For the density of states at the Fermi level, the calculation gives 2.565 states/eV/cell. Its uncorrected formation energy is 0.0982 eV per atom.

***

Record 9
Computed, not measured: a relaxed structure of Sn12Bi3As5 at the GGA-PBE level of DFT.

Cell: 15.1039 15.1039 15.1039 Å, 109.47 109.47 109.47°
Last column: nearest neighbours and their distance in Å.
Fractional positions:
Sn: 0.0489 0.2195 0.1323  2 As 2.79-2.92
Sn: 0.0489 0.3293 0.9165  2 As 2.79-2.92
Sn: 0.0835 0.6323 0.4128  2 As 2.79-2.92
Sn: 0.0835 0.9511 0.6707  2 As 2.79-2.92
Sn: 0.0872 0.7195 0.6707  2 As 2.79-2.92
Sn: 0.0872 0.8677 0.4165  2 As 2.79-2.92
Sn: 0.1323 0.0489 0.2195  2 As 2.79-2.92
Sn: 0.1323 0.5835 0.9128  2 As 2.79-2.92
Sn: 0.1707 0.2195 0.5872  2 As 2.79-2.92
Sn: 0.1707 0.4511 0.5835  2 As 2.79-2.92
Sn: 0.2195 0.1323 0.0489  2 As 2.79-2.92
Sn: 0.2195 0.5872 0.1707  2 As 2.79-2.92
Sn: 0.2805 0.3293 0.9128  2 As 2.79-2.92
Sn: 0.2805 0.4511 0.3677  2 As 2.79-2.92
Sn: 0.3293 0.9128 0.2805  2 As 2.79-2.92
Sn: 0.3293 0.9165 0.0489  2 As 2.79-2.92
Sn: 0.3677 0.2805 0.4511  2 As 2.79-2.92
Sn: 0.3677 0.5872 0.9165  2 As 2.79-2.92
Sn: 0.4128 0.0835 0.6323  2 As 2.79-2.92
Sn: 0.4128 0.8293 0.7805  2 As 2.79-2.92
Sn: 0.4165 0.0872 0.8677  2 As 2.79-2.92
Sn: 0.4165 0.8293 0.5489  2 As 2.79-2.92
Sn: 0.4511 0.3677 0.2805  2 As 2.79-2.92
Sn: 0.4511 0.5835 0.1707  2 As 2.79-2.92
Sn: 0.5489 0.4165 0.8293  2 As 2.79-2.92
Sn: 0.5489 0.6323 0.7195  2 As 2.79-2.92
Sn: 0.5835 0.1707 0.4511  2 As 2.79-2.92
Sn: 0.5835 0.9128 0.1323  2 As 2.79-2.92
Sn: 0.5872 0.1707 0.2195  2 As 2.79-2.92
Sn: 0.5872 0.9165 0.3677  2 As 2.79-2.92
Sn: 0.6323 0.4128 0.0835  2 As 2.79-2.92
Sn: 0.6323 0.7195 0.5489  2 As 2.79-2.92
Sn: 0.6707 0.0835 0.9511  2 As 2.79-2.92
Sn: 0.6707 0.0872 0.7195  2 As 2.79-2.92
Sn: 0.7195 0.5489 0.6323  2 As 2.79-2.92
Sn: 0.7195 0.6707 0.0872  2 As 2.79-2.92
Sn: 0.7805 0.4128 0.8293  2 As 2.79-2.92
Sn: 0.7805 0.8677 0.9511  2 As 2.79-2.92
Sn: 0.8293 0.5489 0.4165  2 As 2.79-2.92
Sn: 0.8293 0.7805 0.4128  2 As 2.79-2.92
Sn: 0.8677 0.4165 0.0872  2 As 2.79-2.92
Sn: 0.8677 0.9511 0.7805  2 As 2.79-2.92
Sn: 0.9128 0.1323 0.5835  2 As 2.79-2.92
Sn: 0.9128 0.2805 0.3293  2 As 2.79-2.92
Sn: 0.9165 0.0489 0.3293  2 As 2.79-2.92
Sn: 0.9165 0.3677 0.5872  2 As 2.79-2.92
Sn: 0.9511 0.6707 0.0835  2 As 2.79-2.92
Sn: 0.9511 0.7805 0.8677  2 As 2.79-2.92
Bi: 0.1250 0.2500 0.3750  8 Sn 3.22-3.27
Bi: 0.1250 0.3750 0.7500  8 Sn 3.22-3.27
Bi: 0.2500 0.3750 0.1250  8 Sn 3.22-3.27
Bi: 0.2500 0.8750 0.6250  8 Sn 3.22-3.27
Bi: 0.3750 0.1250 0.2500  8 Sn 3.22-3.27
Bi: 0.3750 0.7500 0.1250  8 Sn 3.22-3.27
Bi: 0.6250 0.2500 0.8750  8 Sn 3.22-3.27
Bi: 0.6250 0.8750 0.7500  8 Sn 3.22-3.27
Bi: 0.7500 0.1250 0.3750  8 Sn 3.22-3.27
Bi: 0.7500 0.6250 0.8750  8 Sn 3.22-3.27
Bi: 0.8750 0.6250 0.2500  8 Sn 3.22-3.27
Bi: 0.8750 0.7500 0.6250  8 Sn 3.22-3.27
As: 0.0000 0.0000 0.0000  6 Sn 2.92
As: 0.0000 0.0000 0.5000  6 Sn 2.92
As: 0.0000 0.5000 0.0000  6 Sn 2.92
As: 0.0000 0.5000 0.5000  6 Sn 2.92
As: 0.1250 0.7500 0.8750  4 Sn 2.79
As: 0.1250 0.8750 0.2500  4 Sn 2.79
As: 0.2500 0.1250 0.8750  4 Sn 2.79
As: 0.2500 0.6250 0.3750  4 Sn 2.79
As: 0.3750 0.2500 0.6250  4 Sn 2.79
As: 0.3750 0.6250 0.7500  4 Sn 2.79
As: 0.5000 0.0000 0.0000  6 Sn 2.92
As: 0.5000 0.0000 0.5000  6 Sn 2.92
As: 0.5000 0.5000 0.0000  6 Sn 2.92
As: 0.5000 0.5000 0.5000  6 Sn 2.92
As: 0.6250 0.3750 0.2500  4 Sn 2.79
As: 0.6250 0.7500 0.3750  4 Sn 2.79
As: 0.7500 0.3750 0.6250  4 Sn 2.79
As: 0.7500 0.8750 0.1250  4 Sn 2.79
As: 0.8750 0.1250 0.7500  4 Sn 2.79
As: 0.8750 0.2500 0.1250  4 Sn 2.79

Computed properties:
As for the crystal system: cubic. For the density of states at the Fermi level, the calculation gives 30.776 states/eV/cell. For the total energy, the calculation gives -4.00 eV/atom.

***

Record 10
Computed, not measured: a relaxed structure of BaCd3Ga at the GGA-PBE level of DFT.

Cell: 6.8231 6.8231 6.8231 Å, 138.64 138.64 59.92°
Last column: nearest neighbours and their distance in Å.
Fractional positions:
Ba: 0.0000 0.0000 0.0000  12 Cd 3.67-3.91, 4 Ga 3.67
Cd: 0.2606 0.7606 0.5000  2 Ga 2.82, 2 Cd 2.96
Cd: 0.6147 0.6147 0.0000  1 Ga 2.73, 4 Cd 2.96
Cd: 0.7606 0.2606 0.5000  2 Ga 2.82, 2 Cd 2.96
Ga: 0.3838 0.3838 0.0000  5 Cd 2.73-2.82

Computed properties:
As for the crystal system: tetragonal. For the density of states at the Fermi level, the calculation gives 2.655 states/eV/cell. The energy above the most stable polymorph in this dataset is 7 meV per atom.

***

no.,spin magnetization (μB per formula unit),theoretical density (g/cm³)
1,2.9,5.6
2,0.0,8.2
3,4.8,6.5
4,0.0,7.6
5,0.0,2.6
6,0.0,5.3
7,0.0,9.3
8,0.0,7.6
9,0.0,6.1
10,0.0,6.6